First-principles (PBE-GGA) data for a geometry-optimized CeDyMn4 structure, as listed in the Alexandria database.

Its total energy is -7.755 eV per atom.

It has space group F-43m (No. 216), with a = 7.285 Å, b = 7.285 Å, c = 7.285 Å, α = 90.00°, β = 90.00° and γ = 90.00°. Symmetry generates all atoms from Ce at (0.000, 0.000, 0.000), Dy at (0.250, 0.250, 0.250) and Mn at (0.125, 0.125, 0.625).

First-principles (PBE-GGA) data for a geometry-optimized Y2BeSn structure, as listed in the Alexandria database.

The polymorph energy (0 for the lowest one) comes out at 0.000 eV per formula unit.

It has space group Fm-3m (No. 225), with a = 7.219 Å, b = 7.219 Å, c = 7.219 Å, α = 90.00°, β = 90.00° and γ = 90.00°. Symmetry generates all atoms from Y at (0.250, 0.250, 0.250), Be at (0.000, 0.000, 0.000) and Sn at (0.000, 0.000, 0.500).

First-principles (PBE-GGA) data for a geometry-optimized NbV2ZnH structure, as listed in the Alexandria database.

Its total energy is -6.621 eV per atom.

It has space group P4/mmm (No. 123), with a = 3.849 Å, b = 3.849 Å, c = 4.157 Å, α = 90.00°, β = 90.00° and γ = 90.00°. Symmetry generates all atoms from Nb at (0.000, 0.000, 0.000), V at (0.000, 0.500, 0.500), Zn at (0.500, 0.500, 0.000) and H at (0.000, 0.000, 0.500).